Material: LaNd2BiO6
Method: DFT, PBE-GGA
State: optimized geometry Values from VASP.

DFT total energy = -7.508 eV/atom

Cell and atoms, written as Quantum ESPRESSO input:
```
&SYSTEM
  ibrav = 0, nat = 10, ntyp = 4
/
ATOMIC_SPECIES
La 138.91 La.upf
Nd 144.24 Nd.upf
Bi 208.98 Bi.upf
O 16.00 O.upf
ATOMIC_POSITIONS crystal
La 0.0000 0.0000 0.0000
Nd 0.2979 0.7482 0.4994
Nd 0.7021 0.2518 0.5006
Bi 0.5000 0.5000 0.0000
O 0.0841 0.2543 0.5058
O 0.3474 0.3471 0.1954
O 0.3497 0.8493 0.1944
O 0.6503 0.1507 0.8056
O 0.6526 0.6529 0.8046
O 0.9159 0.7457 0.4942
CELL_PARAMETERS angstrom
5.9923 0.0000 0.0000
-0.0353 6.1545 0.0000
-2.9168 -3.0405 4.5594
```